HoMgFe2 | OQMD via LeMat-Bulk | GGA-PBE | relaxed; M_tot = 0.397 μB/f.u.; volume = 78 Å³ per cell; raw total energy = -21.578 eV/f.u.
1.0
3.583 0.000 0.000
-1.792 3.103 0.000
0.000 0.000 7.003
Ho Mg Fe
1 1 2
Direct
0.000 0.000 0.000
0.667 0.333 0.386
0.000 0.000 0.628
0.333 0.667 0.693

---

AcAlFe | OQMD via LeMat-Bulk | GGA-PBE | relaxed; M_tot = 0.307 μB/f.u.; energy above the most stable polymorph in this dataset = 0.000 eV/atom; volume = 71 Å³ per cell
1.0
0.000 3.287 3.287
3.287 0.000 3.287
3.287 3.287 0.000
Ac Al Fe
1 1 1
Direct
0.000 0.000 0.000
0.500 0.500 0.500
0.250 0.250 0.250

---

Ga2HgCl8 | OQMD via LeMat-Bulk | GGA-PBE | relaxed; volume = 346 Å³ per cell; raw total energy = -31.781 eV/f.u.
1.0
6.173 -4.553 0.000
6.173 4.553 0.000
-0.774 0.000 6.150
Ga Hg Cl
2 1 8
Direct
0.201 0.201 0.155
0.799 0.799 0.845
0.000 0.000 0.500
0.084 0.707 0.734
0.192 0.192 0.796
0.293 0.916 0.266
0.370 0.370 0.288
0.630 0.630 0.712
0.707 0.084 0.734
0.808 0.808 0.204
0.916 0.293 0.266

---

NbBi2O5F | OQMD via LeMat-Bulk | GGA-PBE | relaxed; M_tot = 0.002 μB/f.u.; volume = 483 Å³ per cell; raw total energy = -62.436 eV/f.u.
1.0
5.416 0.000 0.000
0.000 16.544 0.000
0.000 0.000 5.393
Nb Bi O F
4 8 20 4
Direct
0.009 0.247 0.000
0.491 0.247 0.500
0.509 0.753 0.000
0.991 0.753 0.500
0.004 0.577 0.006
0.018 0.078 0.512
0.482 0.078 0.012
0.496 0.577 0.506
0.504 0.423 0.006
0.518 0.922 0.512
0.982 0.922 0.012
0.996 0.423 0.506
0.066 0.136 0.980
0.198 0.281 0.691
0.202 0.751 0.790
0.247 0.998 0.254
0.249 0.496 0.251
0.251 0.496 0.751
0.253 0.998 0.754
0.298 0.751 0.290
0.302 0.281 0.191
0.434 0.136 0.480
0.566 0.864 0.980
0.698 0.719 0.691
0.702 0.249 0.790
0.747 0.002 0.254
0.749 0.504 0.251
0.751 0.504 0.751
0.753 0.002 0.754
0.798 0.249 0.290
0.802 0.719 0.191
0.934 0.864 0.480
0.047 0.621 0.499
0.453 0.621 0.999
0.547 0.379 0.499
0.953 0.379 0.999

---

Sr2BiH6Pt | OQMD via LeMat-Bulk | GGA-PBE | relaxed; M_tot = 0.000 μB/f.u.; volume = 146 Å³ per cell; raw total energy = -37.045 eV/f.u.
1.0
0.000 4.178 4.178
4.178 0.000 4.178
4.178 4.178 0.000
Sr Bi H Pt
2 1 6 1
Direct
0.250 0.250 0.250
0.750 0.750 0.750
0.000 0.000 0.000
0.298 0.298 0.702
0.298 0.702 0.298
0.298 0.702 0.702
0.702 0.298 0.298
0.702 0.298 0.702
0.702 0.702 0.298
0.500 0.500 0.500

---

Gd2HoMg3Pt3 | OQMD via LeMat-Bulk | GGA-PBE | relaxed; M_tot = 0.012 μB/f.u.; volume = 192 Å³ per cell; raw total energy = -45.313 eV/f.u.
1.0
4.076 0.000 0.000
0.000 6.386 3.691
0.000 -6.386 3.691
Gd Ho Mg Pt
2 1 3 3
Direct
0.000 0.205 0.795
0.000 0.795 0.205
0.000 0.386 0.386
0.500 0.040 0.040
0.500 0.550 0.794
0.500 0.794 0.550
0.000 0.792 0.792
0.500 0.131 0.461
0.500 0.461 0.131

---

Nd3Mg3InAu2 | OQMD via LeMat-Bulk | GGA-PBE | relaxed; M_tot = 0.010 μB/f.u.; volume = 227 Å³ per cell; raw total energy = -33.015 eV/f.u.
1.0
7.579 0.000 0.000
-3.790 6.564 0.000
0.000 0.000 4.571
Nd Mg In Au
3 3 1 2
Direct
0.000 0.573 0.000
0.427 0.427 0.000
0.573 0.000 0.000
0.000 0.249 0.500
0.249 0.000 0.500
0.751 0.751 0.500
0.000 0.000 0.000
0.333 0.667 0.500
0.667 0.333 0.500

---

TaW3C | OQMD via LeMat-Bulk | GGA-PBE | relaxed; M_tot = 0.000 μB/f.u.; volume = 74 Å³ per cell; raw total energy = -59.302 eV/f.u.
1.0
4.199 0.000 0.000
0.000 4.199 0.000
0.000 0.000 4.199
Ta W C
1 3 1
Direct
0.000 0.000 0.000
0.000 0.500 0.500
0.500 0.000 0.500
0.500 0.500 0.000
0.500 0.500 0.500